Here is a relaxed structure of Y3CuSi3 from Alexandria. Energies are from PBE.

Cell lengths 5.637, 5.637, 13.641 Å; angles 109.12, 109.12, 44.09 degrees
Element x y z (fractional)
Y: 0.032 0.032 0.380
Y: 0.104 0.104 0.923
Y: 0.245 0.245 0.224
Y: 0.755 0.755 0.776
Y: 0.896 0.896 0.077
Y: 0.968 0.968 0.620
Cu: 0.255 0.255 0.601
Cu: 0.745 0.745 0.399
Si: 0.369 0.369 0.456
Si: 0.388 0.388 0.924
Si: 0.460 0.460 0.768
Si: 0.540 0.540 0.232
Si: 0.612 0.612 0.076
Si: 0.631 0.631 0.544

Computed properties:
total moment = 0.00 Bohr magnetons per cell
raw total energy = -6.438 eV per atom
uncorrected formation energy = -512 kJ/mol of formula units
D(E_F) = 6.38 states/eV/cell